Material: K2OsBr
Method: DFT, PBE
State: relaxed

Properties
symmetry	Cmmm, No. 65
formation energy (no corrections)	0.58	eV per atom
energy above the most stable polymorph in this dataset	102	meV/atom

Cell lengths 6.0759, 6.0759, 3.2999 Å; angles 89.97, 89.97, 90.57 degrees
Each line ends with the local moment (μB).
Atoms (fractional coordinates):
Br 0.0000 0.5000 0.5000  0.02
K 0.0000 0.0000 0.0000  0.00
K 0.5000 0.5000 0.0000  0.00
Os 0.5000 0.0000 0.5000  2.20